{
  "formula": "TmBe3Pd10",
  "functional": "PBE-GGA",
  "state": "optimized geometry",
  "lattice_angstrom": [[0.000, 5.921, 5.921], [5.921, 0.000, 5.921], [5.921, 5.921, 0.000]],
  "species": ["Tm", "Tm", "Be", "Be", "Be", "Be", "Be", "Be", "Pd", "Pd", "Pd", "Pd", "Pd", "Pd", "Pd", "Pd", "Pd", "Pd", "Pd", "Pd", "Pd", "Pd", "Pd", "Pd", "Pd", "Pd", "Pd", "Pd"],
  "fractional_positions": [[0.250, 0.250, 0.250], [0.750, 0.750, 0.750], [0.228, 0.228, 0.772], [0.228, 0.772, 0.228], [0.228, 0.772, 0.772], [0.772, 0.228, 0.228], [0.772, 0.228, 0.772], [0.772, 0.772, 0.228], [0.118, 0.118, 0.118], [0.118, 0.118, 0.647], [0.118, 0.647, 0.118], [0.163, 0.500, 0.500], [0.163, 0.500, 0.837], [0.163, 0.837, 0.500], [0.353, 0.882, 0.882], [0.500, 0.163, 0.500], [0.500, 0.163, 0.837], [0.500, 0.500, 0.163], [0.500, 0.500, 0.837], [0.500, 0.837, 0.163], [0.500, 0.837, 0.500], [0.647, 0.118, 0.118], [0.837, 0.163, 0.500], [0.837, 0.500, 0.163], [0.837, 0.500, 0.500], [0.882, 0.353, 0.882], [0.882, 0.882, 0.353], [0.882, 0.882, 0.882]],
  "dos_ef_per_ev_cell": 15.2,
  "crystal_system": "cubic",
  "space_group": "Fm-3m",
  "total_energy_ha_per_atom": -0.196
}


{
  "formula": "YTmBePd",
  "functional": "PBE-GGA",
  "state": "optimized geometry",
  "lattice_angstrom": [[0.000, 3.458, 3.458], [3.458, 0.000, 3.458], [3.458, 3.458, 0.000]],
  "species": ["Y", "Tm", "Be", "Pd"],
  "fractional_positions": [[0.000, 0.000, 0.000], [0.500, 0.500, 0.500], [0.750, 0.750, 0.750], [0.250, 0.250, 0.250]],
  "dos_ef_per_ev_cell": 2.6,
  "crystal_system": "cubic",
  "space_group": "F-43m",
  "total_energy_ha_per_atom": -0.196
}


{
  "formula": "Tm2Be2ZnPd5",
  "functional": "PBE-GGA",
  "state": "optimized geometry",
  "lattice_angstrom": [[9.519, 0.000, 0.000], [0.000, 9.519, 0.000], [0.000, 0.000, 3.433]],
  "species": ["Tm", "Tm", "Tm", "Tm", "Be", "Be", "Be", "Be", "Zn", "Zn", "Pd", "Pd", "Pd", "Pd", "Pd", "Pd", "Pd", "Pd", "Pd", "Pd"],
  "fractional_positions": [[0.177, 0.323, 0.000], [0.323, 0.823, 0.000], [0.677, 0.177, 0.000], [0.823, 0.677, 0.000], [0.120, 0.620, 0.000], [0.380, 0.120, 0.000], [0.620, 0.880, 0.000], [0.880, 0.380, 0.000], [0.000, 0.000, 0.000], [0.500, 0.500, 0.000], [0.000, 0.500, 0.500], [0.068, 0.788, 0.500], [0.212, 0.068, 0.500], [0.288, 0.568, 0.500], [0.432, 0.288, 0.500], [0.500, 0.000, 0.500], [0.568, 0.712, 0.500], [0.712, 0.432, 0.500], [0.788, 0.932, 0.500], [0.932, 0.212, 0.500]],
  "dos_ef_per_ev_cell": 7.6,
  "crystal_system": "tetragonal",
  "space_group": "P4/mbm",
  "total_energy_ha_per_atom": -0.188
}


{
  "formula": "Tm2BeZnPd6",
  "functional": "PBE-GGA",
  "state": "optimized geometry",
  "lattice_angstrom": [[5.596, 0.000, 0.000], [2.519, 5.135, 0.000], [1.664, 0.998, 6.057]],
  "species": ["Tm", "Tm", "Be", "Zn", "Pd", "Pd", "Pd", "Pd", "Pd", "Pd"],
  "fractional_positions": [[0.168, 0.325, 0.260], [0.832, 0.675, 0.740], [0.000, 0.000, 0.000], [0.500, 0.500, 0.500], [0.114, 0.843, 0.326], [0.314, 0.658, 0.864], [0.328, 0.166, 0.824], [0.672, 0.834, 0.176], [0.686, 0.342, 0.136], [0.886, 0.157, 0.674]],
  "dos_ef_per_ev_cell": 2.7,
  "crystal_system": "triclinic",
  "space_group": "P-1",
  "total_energy_ha_per_atom": -0.190
}


{
  "formula": "U2BePd9",
  "functional": "PBE-GGA",
  "state": "optimized geometry",
  "lattice_angstrom": [[4.086, 0.000, 0.000], [0.000, 4.086, 0.000], [0.000, 0.000, 11.838]],
  "species": ["U", "U", "Be", "Pd", "Pd", "Pd", "Pd", "Pd", "Pd", "Pd", "Pd", "Pd"],
  "fractional_positions": [[0.000, 0.000, 0.181], [0.000, 0.000, 0.819], [0.000, 0.000, 0.500], [0.000, 0.500, 0.000], [0.000, 0.500, 0.348], [0.000, 0.500, 0.652], [0.500, 0.000, 0.000], [0.500, 0.000, 0.348], [0.500, 0.000, 0.652], [0.500, 0.500, 0.174], [0.500, 0.500, 0.500], [0.500, 0.500, 0.826]],
  "dos_ef_per_ev_cell": 16.2,
  "crystal_system": "tetragonal",
  "space_group": "P4/mmm",
  "total_energy_ha_per_atom": -0.239
}


{
  "formula": "BeVPd4",
  "functional": "PBE-GGA",
  "state": "optimized geometry",
  "lattice_angstrom": [[3.486, -2.006, 0.000], [3.486, 2.006, 0.000], [-2.314, 0.000, 6.558]],
  "species": ["Be", "V", "Pd", "Pd", "Pd", "Pd"],
  "fractional_positions": [[0.000, 0.000, 0.000], [0.500, 0.500, 0.500], [0.119, 0.119, 0.355], [0.371, 0.371, 0.113], [0.629, 0.629, 0.887], [0.881, 0.881, 0.645]],
  "de_polymorph_ev_per_atom": 0.218,
  "dos_ef_per_ev_cell": 3.6,
  "crystal_system": "monoclinic",
  "space_group": "C2/m",
  "total_energy_ha_per_atom": -0.211
}


{
  "formula": "BeV3Pd",
  "functional": "PBE-GGA",
  "state": "optimized geometry",
  "lattice_angstrom": [[4.097, 0.000, 0.000], [0.000, 4.097, 0.000], [0.000, 0.000, 4.097]],
  "species": ["Be", "V", "V", "V", "Pd"],
  "fractional_positions": [[0.000, 0.000, 0.000], [0.000, 0.000, 0.500], [0.000, 0.500, 0.000], [0.500, 0.000, 0.000], [0.500, 0.500, 0.500]],
  "de_polymorph_ev_per_atom": 0.000,
  "dos_ef_per_ev_cell": 6.9,
  "crystal_system": "cubic",
  "space_group": "Pm-3m",
  "total_energy_ha_per_atom": -0.247
}


{
  "formula": "BeVPd2",
  "functional": "PBE-GGA",
  "state": "optimized geometry",
  "lattice_angstrom": [[2.737, 0.000, 0.000], [0.000, 2.737, 0.000], [0.000, 0.000, 6.824]],
  "species": ["Be", "V", "Pd", "Pd"],
  "fractional_positions": [[0.000, 0.000, 0.000], [0.000, 0.000, 0.500], [0.500, 0.500, 0.215], [0.500, 0.500, 0.785]],
  "dos_ef_per_ev_cell": 2.3,
  "crystal_system": "tetragonal",
  "space_group": "P4/mmm",
  "total_energy_ha_per_atom": -0.228
}